(1)
Below is an optimized crystal structure of PrPaS4, with properties calculated at the PBE-GGA level.

## Properties
space-group type: Cmmm, No. 65
distance to the lowest polymorph of the same formula: 7 meV/atom
formation energy without anion corrections: -971 kJ/mol of formula units
total magnetization: 0.0 μB/cell

abc: 4.2224 6.4059 6.4059
angles: 91.04 90.00 90.00
With the nearest neighbours (Å) after each atom.
Element x y z (fractional)
S  0.5000  0.3187  0.6813  2 Pa 2.68, 1 Pr 2.91
S  0.0000  0.7909  0.7909  1 Pa 2.61, 2 Pr 2.82
S  0.0000  0.2091  0.2091  1 Pa 2.61, 2 Pr 2.82
S  0.5000  0.6813  0.3187  2 Pa 2.68, 1 Pr 2.91
Pr  0.5000  0.0000  0.0000  6 S 2.82-2.91
Pa  0.0000  0.5000  0.5000  6 S 2.61-2.68


(2)
Below is an optimized crystal structure of PrPa2S4, with properties calculated at the PBE-GGA level.

## Properties
space-group type: Cmcm, No. 63
formation energy without anion corrections: -1127 kJ/mol of formula units
total magnetization: 4.4 μB/cell

abc: 3.8520 6.7579 13.2947
angles: 90.00 90.00 106.56
With the nearest neighbours (Å) after each atom.
Element x y z (fractional)
Pa  0.8628  0.7256  0.5621  6 S 2.75-2.77
Pa  0.1372  0.2744  0.4379  6 S 2.75-2.77
Pa  0.8628  0.7256  0.9379  6 S 2.75-2.77
Pa  0.1372  0.2744  0.0621  6 S 2.75-2.77
Pr  0.6173  0.2347  0.7500  6 S 2.89
Pr  0.3826  0.7653  0.2500  6 S 2.89
S  0.2266  0.4533  0.8727  3 Pa 2.75-2.77, 2 Pr 2.89
S  0.2266  0.4533  0.6273  3 Pa 2.75-2.77, 2 Pr 2.89
S  0.7734  0.5467  0.1273  3 Pa 2.75-2.77, 2 Pr 2.89
S  0.7734  0.5467  0.3727  3 Pa 2.75-2.77, 2 Pr 2.89
S  0.9508  0.9017  0.7500  2 Pa 2.75, 2 Pr 2.89
S  0.5000  0.0000  0.5000  4 Pa 2.75
S  0.5000  0.0000  0.0000  4 Pa 2.75
S  0.0492  0.0983  0.2500  2 Pa 2.75, 2 Pr 2.89


(3)
Below is an optimized crystal structure of PrPaS2, with properties calculated at the PBE-GGA level.

## Properties
space-group type: R3m, No. 160
distance to the lowest polymorph of the same formula: 124 meV/atom
formation energy without anion corrections: -635 kJ/mol of formula units
total magnetization: 0.8 μB/cell

abc: 3.8294 3.8294 7.5640
angles: 75.34 75.34 60.00
With the nearest neighbours (Å) after each atom.
Element x y z (fractional)
Pr  0.4957  0.4957  0.5128  6 S 2.85-2.98
S  0.2543  0.2543  0.2370  3 Pa 2.84, 3 Pr 2.98
S  0.0798  0.0798  0.7606  3 Pa 2.76, 3 Pr 2.85
Pa  0.6701  0.6701  0.9896  6 S 2.76-2.84


(4)
Below is an optimized crystal structure of PrPa2S6, with properties calculated at the PBE-GGA level.

## Properties
space-group type: C2/m, No. 12
distance to the lowest polymorph of the same formula: 29 meV/atom
formation energy without anion corrections: -1413 kJ/mol of formula units
total magnetization: 1.1 μB/cell

abc: 5.1806 7.2787 7.9317
angles: 72.68 70.94 69.15
With the nearest neighbours (Å) after each atom.
Element x y z (fractional)
Pa  0.1833  0.7417  0.8917  6 S 2.53-2.80
Pa  0.8167  0.2583  0.1083  6 S 2.53-2.80
S  0.0341  0.1428  0.7891  2 Pa 2.67-2.68, 1 Pr 2.90
S  0.7401  0.6397  0.8801  3 Pa 2.69-2.80
S  0.2599  0.3603  0.1199  3 Pa 2.69-2.80
S  0.6348  0.2926  0.4378  1 Pa 2.53
S  0.9659  0.8572  0.2109  2 Pa 2.67-2.68, 1 Pr 2.90
S  0.3652  0.7074  0.5622  1 Pa 2.53
Pr  0.0000  0.5000  0.5000  8 S 2.90-3.18


(5)
Below is an optimized crystal structure of Pr5Pa2S12, with properties calculated at the PBE-GGA level.

## Properties
space-group type: C2/m, No. 12
formation energy without anion corrections: -3426 kJ/mol of formula units
total magnetization: 1.0 μB/cell

abc: 7.5845 8.7255 9.1978
angles: 105.72 90.00 115.76
With the nearest neighbours (Å) after each atom.
Element x y z (fractional)
Pr  0.2937  0.5873  0.6357  7 S 2.89-3.10
Pr  0.3104  0.6209  0.1769  7 S 2.89-3.08
Pr  0.7063  0.4127  0.3643  7 S 2.89-3.10
Pr  0.0000  0.0000  0.5000  6 S 2.79-2.95
Pr  0.6896  0.3791  0.8231  7 S 2.89-3.08
S  0.0060  0.0119  0.8068  2 Pa 2.64, 1 Pr 2.79
S  0.4452  0.3494  0.0910  1 Pa 2.62, 1 Pr 2.89
S  0.4988  0.9976  0.7869  2 Pa 2.71, 1 Pr 2.92
S  0.9042  0.3494  0.0910  1 Pa 2.62, 1 Pr 2.89
S  0.5983  0.7016  0.4342  4 Pr 2.89-2.96
S  0.5012  0.0024  0.2131  2 Pa 2.71, 1 Pr 2.92
S  0.0958  0.6506  0.9090  1 Pa 2.62, 1 Pr 2.89
S  0.5548  0.6506  0.9090  1 Pa 2.62, 1 Pr 2.89
S  0.4017  0.2984  0.5658  4 Pr 2.89-2.96
S  0.9940  0.9881  0.1932  2 Pa 2.64, 1 Pr 2.79
S  0.8967  0.2984  0.5658  4 Pr 2.89-2.96
S  0.1033  0.7016  0.4342  4 Pr 2.89-2.96
Pa  0.2528  0.0000  0.0000  6 S 2.62-2.71
Pa  0.7472  0.0000  0.0000  6 S 2.62-2.71


(6)
Below is an optimized crystal structure of PrPaS3, with properties calculated at the PBE-GGA level.

## Properties
space-group type: Cmcm, No. 63
distance to the lowest polymorph of the same formula: 56 meV/atom
formation energy without anion corrections: -859 kJ/mol of formula units
total magnetization: 2.5 μB/cell

abc: 3.8636 6.8278 9.6698
angles: 90.00 90.00 106.43
With the nearest neighbours (Å) after each atom.
Element x y z (fractional)
Pa  0.0000  0.0000  0.5000  6 S 2.70-2.75
Pa  0.0000  0.0000  0.0000  6 S 2.70-2.75
S  0.3597  0.7193  0.5697  2 Pa 2.75, 2 Pr 2.95
S  0.6403  0.2807  0.0697  2 Pa 2.75, 2 Pr 2.95
S  0.6403  0.2807  0.4303  2 Pa 2.75, 2 Pr 2.95
S  0.0914  0.1824  0.7500  2 Pa 2.70, 2 Pr 2.88
S  0.9086  0.8176  0.2500  2 Pa 2.70, 2 Pr 2.88
S  0.3597  0.7193  0.9303  2 Pa 2.75, 2 Pr 2.95
Pr  0.2457  0.4915  0.2500  6 S 2.88-2.95
Pr  0.7543  0.5085  0.7500  6 S 2.88-2.95


(7)
Below is an optimized crystal structure of PrPaS4, with properties calculated at the PBE-GGA level.

## Properties
space-group type: P2_1/m, No. 11
distance to the lowest polymorph of the same formula: 0 meV/atom
formation energy without anion corrections: -976 kJ/mol of formula units
total magnetization: 0.0 μB/cell

abc: 6.3408 5.6118 7.9225
angles: 90.00 108.10 90.00
With the nearest neighbours (Å) after each atom.
Element x y z (fractional)
S  0.0054  0.9974  0.7302  2 Pa 2.75-2.77, 2 S 2.78-2.84, 2 Pr 3.00
S  0.9946  0.0026  0.2698  2 Pa 2.75-2.77, 2 S 2.78-2.84, 2 Pr 3.00
S  0.5761  0.2500  0.4065  3 Pa 2.70-2.99, 1 Pr 2.83
S  0.5729  0.2500  0.8802  1 Pa 2.68, 3 Pr 2.82-2.99
S  0.4239  0.7500  0.5935  3 Pa 2.70-2.99, 1 Pr 2.83
S  0.9946  0.4974  0.2698  2 Pa 2.75-2.77, 2 S 2.78-2.84, 2 Pr 3.00
S  0.4271  0.7500  0.1198  1 Pa 2.68, 3 Pr 2.82-2.99
S  0.0054  0.5026  0.7302  2 Pa 2.75-2.77, 2 S 2.78-2.84, 2 Pr 3.00
Pr  0.7426  0.7500  0.9347  8 S 2.82-3.00
Pr  0.2574  0.2500  0.0653  8 S 2.82-3.00
Pa  0.2548  0.2500  0.5640  8 S 2.68-2.99
Pa  0.7452  0.7500  0.4360  8 S 2.68-2.99


(8)
Below is an optimized crystal structure of PrPaS2, with properties calculated at the PBE-GGA level.

## Properties
space-group type: R-3m, No. 166
distance to the lowest polymorph of the same formula: 0 meV/atom
formation energy without anion corrections: -683 kJ/mol of formula units
total magnetization: 0.0 μB/cell

abc: 3.9690 3.9690 7.0001
angles: 73.53 73.53 60.00
With the nearest neighbours (Å) after each atom.
Element x y z (fractional)
Pr  0.0000  0.0000  0.0000  6 S 2.88
S  0.7546  0.7546  0.7363  3 Pa 2.77, 3 Pr 2.88
S  0.2454  0.2454  0.2637  3 Pa 2.77, 3 Pr 2.88
Pa  0.5000  0.5000  0.5000  6 S 2.77